Entry 1:
This record from Alexandria describes a relaxed SbH3Cl crystal. The functional is GGA-PBE.

Energy above the lowest structure with this stoichiometry, meV per atom: 854
ρ, Mg/m³: 4.60
SG: Pm-3m, No. 221
V, Å³/atom: 11.57

Unit cell a=3.8674 b=3.8674 c=3.8674 alpha=90.00 beta=90.00 gamma=90.00
Last column: nearest neighbours and their distance in Å.
Fractional positions:
H  0.5000  0.0000  0.0000  2 Cl 1.93
H  0.0000  0.5000  0.0000  2 Cl 1.93
H  0.0000  0.0000  0.5000  2 Cl 1.93
Sb  0.5000  0.5000  0.5000  12 H 2.73
Cl  0.0000  0.0000  0.0000  6 H 1.93

---

Entry 2:
This record from Alexandria describes a relaxed BaHgMo2 crystal. The functional is GGA-PBE.

ρ, Mg/m³: 10.07
SG: R-3m, No. 166
V, Å³/atom: 21.85
Calculated formation energy, eV per atom: 1.25

Unit cell a=11.0840 b=11.0840 c=11.0840 alpha=15.75 beta=15.75 gamma=15.75
Last column: nearest neighbours and their distance in Å.
Fractional positions:
Mo  0.0109  0.0109  0.0109  3 Hg 2.95, 6 Mo 3.04
Mo  0.4891  0.4891  0.4891  3 Hg 2.95, 6 Mo 3.04
Ba  0.2500  0.2500  0.2500  6 Ba 3.04
Hg  0.7500  0.7500  0.7500  6 Mo 2.95, 6 Hg 3.04

---

Entry 3:
This record from Alexandria describes a relaxed Ba7H2Au2 crystal. The functional is GGA-PBE.

Energy above the lowest structure with this stoichiometry, meV per atom: 16
ρ, Mg/m³: 4.52
SG: C2/m, No. 12
V, Å³/atom: 45.32

Unit cell a=7.6266 b=8.3076 c=8.3076 alpha=100.58 beta=99.86 gamma=99.86
Last column: nearest neighbours and their distance in Å.
Fractional positions:
Ba  0.2621  0.5600  0.9015  1 H 2.65
Ba  0.7379  0.4400  0.0985  1 H 2.65
Au  0.5000  0.7028  0.2972  6 Ba 3.29-3.44
Au  0.5000  0.2972  0.7028  6 Ba 3.29-3.44
H  0.9063  0.2205  0.2205  4 Ba 2.62-2.68
Ba  0.2621  0.9015  0.5600  1 H 2.65
Ba  0.7552  0.6208  0.6208  1 H 2.68
Ba  0.0000  0.0000  0.0000  2 H 2.62
Ba  0.7379  0.0985  0.4400  1 H 2.65
H  0.0937  0.7795  0.7795  4 Ba 2.62-2.68
Ba  0.2448  0.3792  0.3792  1 H 2.68

---

Entry 4:
This record from Alexandria describes a relaxed AgP2Ir crystal. The functional is GGA-PBE.

Energy above the lowest structure with this stoichiometry, meV per atom: 269
ρ, Mg/m³: 9.55
SG: P4/mmm, No. 123
V, Å³/atom: 15.74
Calculated formation energy, eV per atom: 0.22

Unit cell a=3.2420 b=3.2491 c=5.9785 alpha=90.00 beta=90.00 gamma=90.00
Last column: nearest neighbours and their distance in Å.
Fractional positions:
P  0.0000  0.0000  0.9495  1 P 2.38, 4 Ir 2.59
P  0.0000  0.0000  0.5505  1 P 2.38, 4 Ir 2.59
Ir  0.5000  0.5000  0.7500  8 P 2.59
Ag  0.5000  0.5000  0.2500  8 P 2.91, 2 Ir 2.99, 4 Ag 3.24-3.25

---

Entry 5:
This record from Alexandria describes a relaxed AlCu12Ni7 crystal. The functional is GGA-PBE.

ρ, Mg/m³: 8.32
SG: R-3, No. 148
V, Å³/atom: 11.98
Calculated formation energy, eV per atom: 0.04

Unit cell a=6.6023 b=6.6023 c=6.6023 alpha=107.00 beta=107.00 gamma=107.00
Last column: nearest neighbours and their distance in Å.
Fractional positions:
Cu  0.6267  0.7726  0.3325  4 Ni 2.38-2.54, 7 Cu 2.45-2.67
Cu  0.6675  0.3733  0.2274  4 Ni 2.38-2.54, 7 Cu 2.45-2.67
Ni  0.0131  0.8973  0.3242  7 Cu 2.38-2.56, 3 Ni 2.41-2.61, 1 Al 2.41
Ni  0.6758  0.9869  0.1027  7 Cu 2.38-2.56, 3 Ni 2.41-2.61, 1 Al 2.41
Ni  0.3242  0.0131  0.8973  7 Cu 2.38-2.56, 3 Ni 2.41-2.61, 1 Al 2.41
Cu  0.5952  0.9549  0.6986  5 Cu 2.45-2.67, 5 Ni 2.45-2.69, 1 Al 2.70
Ni  0.9869  0.1027  0.6758  7 Cu 2.38-2.56, 3 Ni 2.41-2.61, 1 Al 2.41
Cu  0.7726  0.3325  0.6267  4 Ni 2.38-2.54, 7 Cu 2.45-2.67
Al  0.0000  0.0000  0.0000  6 Ni 2.41, 6 Cu 2.70
Cu  0.2274  0.6675  0.3733  4 Ni 2.38-2.54, 7 Cu 2.45-2.67
Cu  0.3733  0.2274  0.6675  4 Ni 2.38-2.54, 7 Cu 2.45-2.67
Ni  0.1027  0.6758  0.9869  7 Cu 2.38-2.56, 3 Ni 2.41-2.61, 1 Al 2.41
Cu  0.0451  0.3014  0.4048  5 Cu 2.45-2.67, 5 Ni 2.45-2.69, 1 Al 2.70
Cu  0.3014  0.4048  0.0451  5 Cu 2.45-2.67, 5 Ni 2.45-2.69, 1 Al 2.70
Ni  0.8973  0.3242  0.0131  7 Cu 2.38-2.56, 3 Ni 2.41-2.61, 1 Al 2.41
Cu  0.4048  0.0451  0.3014  5 Cu 2.45-2.67, 5 Ni 2.45-2.69, 1 Al 2.70
Cu  0.3325  0.6267  0.7726  4 Ni 2.38-2.54, 7 Cu 2.45-2.67
Ni  0.5000  0.5000  0.5000  12 Cu 2.45-2.69
Cu  0.6986  0.5952  0.9549  5 Cu 2.45-2.67, 5 Ni 2.45-2.69, 1 Al 2.70
Cu  0.9549  0.6986  0.5952  5 Cu 2.45-2.67, 5 Ni 2.45-2.69, 1 Al 2.70

---

Entry 6:
This record from Alexandria describes a relaxed GdCdGe crystal. The functional is GGA-PBE.

ρ, Mg/m³: 8.00
SG: P3m1, No. 156
V, Å³/atom: 23.68
Calculated formation energy, eV per atom: -0.46

Unit cell a=4.0730 b=4.4877 c=4.4877 alpha=120.00 beta=90.00 gamma=90.00
Last column: nearest neighbours and their distance in Å.
Fractional positions:
Gd  0.6884  0.6667  0.3333  3 Ge 3.03, 3 Cd 3.18
Ge  0.0749  0.0000  0.0000  3 Cd 2.67
Cd  0.2367  0.3333  0.6667  3 Ge 2.67

---

Entry 7:
This record from Alexandria describes a relaxed VAsRh3 crystal. The functional is GGA-PBE.

Energy above the lowest structure with this stoichiometry, meV per atom: 226
ρ, Mg/m³: 7.94
SG: Pm-3m, No. 221
V, Å³/atom: 18.17
Calculated formation energy, eV per atom: 0.75

Unit cell a=4.4952 b=4.4952 c=4.4952 alpha=90.00 beta=90.00 gamma=90.00
Last column: nearest neighbours and their distance in Å.
Fractional positions:
V  0.0000  0.0000  0.0000  6 Rh 2.25
Rh  0.5000  0.0000  0.0000  2 V 2.25
Rh  0.0000  0.5000  0.0000  2 V 2.25
As  0.5000  0.5000  0.5000  12 Rh 3.18
Rh  0.0000  0.0000  0.5000  2 V 2.25

---

Entry 8:
This record from Alexandria describes a relaxed TbPuSbSe crystal. The functional is GGA-PBE.

ΔE_f (raw), eV per atom: -1.286
ρ, Mg/m³: 9.06
SG: R3m, No. 160
V, Å³/atom: 27.66

Unit cell a=4.2885 b=4.2885 c=7.3736 alpha=73.09 beta=73.09 gamma=60.00
Last column: nearest neighbours and their distance in Å.
Fractional positions:
Se  0.1937  0.1937  0.4189  3 Tb 2.97, 3 Pu 2.97
Sb  0.6949  0.6949  0.9152  3 Tb 3.07, 3 Pu 3.09
Pu  0.9392  0.9392  0.1823  3 Se 2.97, 3 Sb 3.09
Tb  0.4485  0.4485  0.6544  3 Se 2.97, 3 Sb 3.07

---

Entry 9:
This record from Alexandria describes a relaxed BaBeMo crystal. The functional is GGA-PBE.

Energy above the lowest structure with this stoichiometry, meV per atom: 498
ρ, Mg/m³: 6.22
SG: P-6m2, No. 187
V, Å³/atom: 21.55
Calculated formation energy, eV per atom: 1.29

Unit cell a=4.8437 b=4.8437 c=3.1820 alpha=90.00 beta=90.00 gamma=120.00
Last column: nearest neighbours and their distance in Å.
Fractional positions:
Ba  0.0000  0.0000  0.0000  2 Ba 3.18, 6 Mo 3.22, 6 Be 3.22
Mo  0.3333  0.6667  0.5002  3 Be 2.80
Be  0.6667  0.3333  0.4998  3 Mo 2.80

---

Entry 10:
This record from Alexandria describes a relaxed CaMgAg crystal. The functional is GGA-PBE.

ρ, Mg/m³: 3.37
SG: F-43m, No. 216
V, Å³/atom: 28.33
Calculated formation energy, eV per atom: -0.13

Unit cell a=4.9352 b=4.9352 c=4.9352 alpha=60.00 beta=60.00 gamma=60.00
Last column: nearest neighbours and their distance in Å.
Fractional positions:
Ca  0.0000  0.0000  0.0000  4 Ag 3.02
Mg  0.5000  0.5000  0.5000  4 Ag 3.02
Ag  0.7500  0.7500  0.7500  4 Ca 3.02, 4 Mg 3.02

---

Entry 11:
This record from Alexandria describes a relaxed La3Y crystal. The functional is GGA-PBE.

ρ, Mg/m³: 5.84
SG: Pmm2, No. 25
V, Å³/atom: 35.93
Calculated formation energy, eV per atom: 0.03

Unit cell a=3.7283 b=5.9982 c=6.4263 alpha=90.00 beta=90.00 gamma=90.00
Last column: nearest neighbours and their distance in Å.
Fractional positions:
La  0.0000  0.0000  0.0002  2 Y 3.67, 10 La 3.69-3.73
Y  0.0000  0.5000  0.3305  10 La 3.67-3.73, 2 Y 3.73
La  0.5000  0.0000  0.5020  8 La 3.68-3.73, 4 Y 3.70
La  0.5000  0.5000  0.8340  8 La 3.68-3.73, 4 Y 3.70-3.73

---

Entry 12:
This record from Alexandria describes a relaxed Cs3Te2O6 crystal. The functional is GGA-PBE.

ΔE_f (raw), eV per atom: -1.284
ρ, Mg/m³: 5.37
SG: I4/mmm, No. 139
V, Å³/atom: 21.08

Unit cell a=4.2435 b=4.2435 c=13.2216 alpha=99.23 beta=99.23 gamma=90.00
Last column: nearest neighbours and their distance in Å.
Fractional positions:
O  0.0932  0.5932  0.1863  2 Te 2.14
Te  0.6028  0.6028  0.2055  1 O 1.87
O  0.4068  0.9068  0.8137  2 Te 2.14
O  0.5932  0.0932  0.1863  2 Te 2.14
Cs  0.1918  0.1918  0.3836  8 O 3.03-3.31
Te  0.3972  0.3972  0.7945  1 O 1.87
O  0.3245  0.3245  0.6491  1 Te 1.87
Cs  0.8082  0.8082  0.6164  8 O 3.03-3.31
O  0.9068  0.4068  0.8137  2 Te 2.14
Cs  0.0000  0.0000  0.0000  8 O 3.20
O  0.6755  0.6755  0.3509  1 Te 1.87

---

no.,raw total energy (Ha/atom)
1,-0.077
2,-0.174
3,-0.101
4,-0.199
5,-0.170
6,-0.257
7,-0.236
8,-0.291
9,-0.154
10,-0.084
11,-0.194
12,-0.176